## w
Density functional theory data (GGA-PBE) for a relaxed SmDyCdAu crystal.

Its magnetization is 0.00 μB/cell. The density of states at the Fermi level is 2.86 states/eV/f.u.

The space group is F-43m (No. 216) and the conventional cell measures 7.406, 7.406 and 7.406 Å, with angles of 90.00, 90.00 and 90.00 degrees. The asymmetric unit holds Sm at (0.000, 0.000, 0.000), Dy at (0.000, 0.000, 0.500), Cd at (0.250, 0.250, 0.750) and Au at (0.250, 0.250, 0.250).

---

## x
Density functional theory data (GGA-PBE) for a relaxed SmDyCdAu crystal.

Its magnetization is 0.00 μB/cell. The density of states at the Fermi level is 3.58 states/eV/f.u.

The space group is P4mm (No. 99) and the conventional cell measures 3.701, 3.701 and 7.419 Å, with angles of 90.00, 90.00 and 90.00 degrees. The asymmetric unit holds Sm at (0.000, 0.000, 0.000), Dy at (0.000, 0.000, 0.527), Cd at (0.500, 0.500, 0.271) and Au at (0.500, 0.500, 0.747).

---

Quick one: least stable of them? w

---

## w
Density functional theory data (GGA-PBE) for a relaxed TbDyCdAu crystal.

Its magnetization is 0.00 μB/cell. The density of states at the Fermi level is 3.20 states/eV/f.u.

The space group is P4mm (No. 99) and the conventional cell measures 3.682, 3.682 and 7.321 Å, with angles of 90.00, 90.00 and 90.00 degrees. The asymmetric unit holds Tb at (0.000, 0.000, 0.000), Dy at (0.000, 0.000, 0.527), Cd at (0.500, 0.500, 0.265) and Au at (0.500, 0.500, 0.760).

---

## x
Density functional theory data (GGA-PBE) for a relaxed TbDyCdAu crystal.

Its magnetization is 0.00 μB/cell. The density of states at the Fermi level is 3.53 states/eV/f.u.

The space group is F-43m (No. 216) and the conventional cell measures 7.346, 7.346 and 7.346 Å, with angles of 90.00, 90.00 and 90.00 degrees. The asymmetric unit holds Tb at (0.000, 0.000, 0.000), Dy at (0.000, 0.000, 0.500), Cd at (0.250, 0.250, 0.750) and Au at (0.250, 0.250, 0.250).

---

Quick one: least stable of them? x

---

## w
Density functional theory data (GGA-PBE) for a relaxed Er3Cd2Au crystal.

Its magnetization is 0.00 μB/cell. The density of states at the Fermi level is 4.42 states/eV/f.u.

The space group is P4/mmm (No. 123) and the conventional cell measures 3.650, 3.650 and 11.058 Å, with angles of 90.00, 90.00 and 90.00 degrees. The asymmetric unit holds Er at (0.000, 0.000, 0.000), Er at (0.000, 0.000, 0.345), Cd at (0.500, 0.500, 0.168) and Au at (0.500, 0.500, 0.500).

---

## x
Density functional theory data (GGA-PBE) for a relaxed Er3Cd2Au crystal.

Its magnetization is 0.00 μB/cell. The density of states at the Fermi level is 3.50 states/eV/f.u.

The space group is P-3m1 (No. 164) and the conventional cell measures 5.1668, 5.1668 and 6.3503 Å, with angles of 90.00, 90.00 and 120.00 degrees. The asymmetric unit holds Er at (0.0000, 0.0000, 0.0000), Er at (0.3333, 0.6667, 0.6497), Cd at (0.3333, 0.6667, 0.1474) and Au at (0.0000, 0.0000, 0.5000).

---

Quick one: least stable of them? x

---

## w
Density functional theory data (GGA-PBE) for a relaxed Er2CdAu3 crystal.

Its magnetization is 0.00 μB/cell. The density of states at the Fermi level is 2.48 states/eV/f.u.

The space group is P-3m1 (No. 164) and the conventional cell measures 4.9613, 4.9613 and 12.1567 Å, with angles of 90.00, 90.00 and 120.00 degrees. The asymmetric unit holds Er at (0.0000, 0.0000, 0.0000), Er at (0.0000, 0.0000, 0.5000), Er at (0.3333, 0.6667, 0.1820), Cd at (0.3333, 0.6667, 0.6689), Au at (0.0000, 0.0000, 0.2457), Au at (0.3333, 0.6667, 0.4244) and Au at (0.3333, 0.6667, 0.9305).

---

## x
Density functional theory data (GGA-PBE) for a relaxed Er2CdAu3 crystal.

Its magnetization is 0.00 μB/cell. The density of states at the Fermi level is 2.93 states/eV/f.u.

The space group is P4/mmm (No. 123) and the conventional cell measures 3.547, 3.547 and 10.384 Å, with angles of 90.00, 90.00 and 90.00 degrees. The asymmetric unit holds Er at (0.000, 0.000, 0.175), Cd at (0.000, 0.000, 0.500), Au at (0.500, 0.500, 0.000) and Au at (0.500, 0.500, 0.333).

---

Quick one: least stable of them? x

---

## w
Density functional theory data (GGA-PBE) for a relaxed Er3Cd2Au3 crystal.

Its magnetization is 0.00 μB/cell. The density of states at the Fermi level is 3.46 states/eV/f.u.

The space group is P6_3/mcm (No. 193) and the conventional cell measures 8.6375, 8.6375 and 5.7894 Å, with angles of 90.00, 90.00 and 120.00 degrees. The asymmetric unit holds Er at (0.0000, 0.2782, 0.2500), Cd at (0.3333, 0.6667, 0.0000) and Au at (0.0000, 0.3749, 0.7500).

---

## x
Density functional theory data (GGA-PBE) for a relaxed Er3Cd2Au3 crystal.

Its magnetization is 0.00 μB/cell. The density of states at the Fermi level is 4.36 states/eV/f.u.

The space group is Immm (No. 71) and the conventional cell measures 3.609, 5.014 and 20.085 Å, with angles of 90.00, 90.00 and 90.00 degrees. The asymmetric unit holds Er at (0.000, 0.000, 0.000), Er at (0.000, 0.500, 0.126), Cd at (0.000, 0.000, 0.238), Au at (0.000, 0.000, 0.500) and Au at (0.000, 0.500, 0.381).

---

Quick one: least stable of them? x

---

## w
Density functional theory data (GGA-PBE) for a relaxed Er2CdAu6 crystal.

Its magnetization is 0.00 μB/cell. The density of states at the Fermi level is 5.00 states/eV/f.u.

The space group is C2/m (No. 12) and the conventional cell measures 8.119, 7.958 and 5.880 Å, with angles of 90.00, 92.79 and 90.00 degrees. The asymmetric unit holds Er at (0.179, 0.000, 0.163), Cd at (0.000, 0.500, 0.500), Au at (0.000, 0.326, 0.000) and Au at (0.157, 0.171, 0.658).

---

## x
Density functional theory data (GGA-PBE) for a relaxed Er2CdAu6 crystal.

Its magnetization is 0.00 μB/cell. The density of states at the Fermi level is 4.80 states/eV/f.u.

The space group is C2/m (No. 12) and the conventional cell measures 5.196, 15.742 and 5.181 Å, with angles of 90.00, 119.87 and 90.00 degrees. The asymmetric unit holds Er at (0.000, 0.161, 0.000), Cd at (0.000, 0.000, 0.500), Au at (0.159, 0.500, 0.824) and Au at (0.164, 0.330, 0.326).

---

Quick one: least stable of them? w

---

## w
Density functional theory data (GGA-PBE) for a relaxed Er4CdAu2 crystal.

Its magnetization is 0.00 μB/cell. The density of states at the Fermi level is 7.25 states/eV/f.u.

The space group is R-3m (No. 166, hexagonal axes) and the conventional cell measures 4.8533, 4.8533 and 28.4368 Å, with angles of 90.00, 90.00 and 120.00 degrees. The asymmetric unit holds Er at (0.0000, 0.0000, 0.1143), Er at (0.0000, 0.0000, 0.2973), Cd at (0.0000, 0.0000, 0.5000) and Au at (0.0000, 0.0000, 0.3998).

---

## x
Density functional theory data (GGA-PBE) for a relaxed Er4CdAu2 crystal.

Its magnetization is 0.00 μB/cell. The density of states at the Fermi level is 5.12 states/eV/f.u.

The space group is R-3m (No. 166, hexagonal axes) and the conventional cell measures 5.0425, 5.0425 and 24.4813 Å, with angles of 90.00, 90.00 and 120.00 degrees. The asymmetric unit holds Er at (0.0000, 0.0000, 0.1186), Er at (0.0000, 0.0000, 0.3708), Cd at (0.0000, 0.0000, 0.5000) and Au at (0.0000, 0.0000, 0.2496).

---

Quick one: least stable of them? w

---

## w
Density functional theory data (GGA-PBE) for a relaxed Er2CdAu crystal.

Its magnetization is 0.00 μB/cell. The density of states at the Fermi level is 2.87 states/eV/f.u.

The space group is P4/mmm (No. 123) and the conventional cell measures 3.654, 3.654 and 7.204 Å, with angles of 90.00, 90.00 and 90.00 degrees. The asymmetric unit holds Er at (0.000, 0.000, 0.237), Cd at (0.500, 0.500, 0.500) and Au at (0.500, 0.500, 0.000).

---

## x
Density functional theory data (GGA-PBE) for a relaxed Er2CdAu crystal.

Its magnetization is 0.00 μB/cell. The density of states at the Fermi level is 3.92 states/eV/f.u.

The space group is Fm-3m (No. 225) and the conventional cell measures 7.270, 7.270 and 7.270 Å, with angles of 90.00, 90.00 and 90.00 degrees. The asymmetric unit holds Er at (0.250, 0.250, 0.250), Cd at (0.000, 0.000, 0.000) and Au at (0.000, 0.000, 0.500).

---

Quick one: least stable of them? x

---

## w
Density functional theory data (GGA-PBE) for a relaxed Er4CdAu crystal.

Its magnetization is 0.00 μB/cell. The density of states at the Fermi level is 6.51 states/eV/f.u.

The space group is F-43m (No. 216) and the conventional cell measures 13.696, 13.696 and 13.696 Å, with angles of 90.00, 90.00 and 90.00 degrees. The asymmetric unit holds Er at (0.000, 0.000, 0.184), Er at (0.062, 0.250, 0.750), Er at (0.109, 0.109, 0.391), Cd at (0.167, 0.167, 0.167) and Au at (0.103, 0.103, 0.603).

---

## x
Density functional theory data (GGA-PBE) for a relaxed Er4CdAu crystal.

Its magnetization is 0.00 μB/cell. The density of states at the Fermi level is 9.23 states/eV/f.u.

The space group is P2_1/c (No. 14) and the conventional cell measures 7.259, 7.323 and 6.892 Å, with angles of 90.00, 94.52 and 90.00 degrees. The asymmetric unit holds Er at (0.160, 0.149, 0.388), Er at (0.337, 0.667, 0.320), Cd at (0.000, 0.000, 0.000) and Au at (0.500, 0.000, 0.500).

---

Quick one: least stable of them? x

---

## w
Density functional theory data (GGA-PBE) for a relaxed HoErCdAu crystal.

Its magnetization is 0.00 μB/cell. The density of states at the Fermi level is 2.93 states/eV/f.u.

The space group is P4mm (No. 99) and the conventional cell measures 3.659, 3.659 and 7.226 Å, with angles of 90.00, 90.00 and 90.00 degrees. The asymmetric unit holds Ho at (0.000, 0.000, 0.000), Er at (0.000, 0.000, 0.526), Cd at (0.500, 0.500, 0.265) and Au at (0.500, 0.500, 0.760).

---

## x
Density functional theory data (GGA-PBE) for a relaxed HoErCdAu crystal.

Its magnetization is 0.00 μB/cell. The density of states at the Fermi level is 4.10 states/eV/f.u.

The space group is F-43m (No. 216) and the conventional cell measures 7.285, 7.285 and 7.285 Å, with angles of 90.00, 90.00 and 90.00 degrees. The asymmetric unit holds Ho at (0.000, 0.000, 0.000), Er at (0.000, 0.000, 0.500), Cd at (0.250, 0.250, 0.250) and Au at (0.250, 0.250, 0.750).

---

Quick one: least stable of them? x

---

## w
Density functional theory data (GGA-PBE) for a relaxed NdErCdAu crystal.

Its magnetization is 0.00 μB/cell. The density of states at the Fermi level is 3.22 states/eV/f.u.

The space group is F-43m (No. 216) and the conventional cell measures 7.424, 7.424 and 7.424 Å, with angles of 90.00, 90.00 and 90.00 degrees. The asymmetric unit holds Nd at (0.000, 0.000, 0.000), Er at (0.000, 0.000, 0.500), Cd at (0.250, 0.250, 0.750) and Au at (0.250, 0.250, 0.250).

---

## x
Density functional theory data (GGA-PBE) for a relaxed NdErCdAu crystal.

Its magnetization is 0.20 μB/cell. The density of states at the Fermi level is 3.98 states/eV/f.u.

The space group is P4mm (No. 99) and the conventional cell measures 3.690, 3.690 and 7.512 Å, with angles of 90.00, 90.00 and 90.00 degrees. The asymmetric unit holds Nd at (0.000, 0.000, 0.000), Er at (0.000, 0.000, 0.473), Cd at (0.500, 0.500, 0.723) and Au at (0.500, 0.500, 0.269).

---

Quick one: least stable of them? w

---

## w
Density functional theory data (GGA-PBE) for a relaxed PmErCdAu crystal.

Its magnetization is 0.14 μB/cell. The density of states at the Fermi level is 3.84 states/eV/f.u.

The space group is P4mm (No. 99) and the conventional cell measures 3.687, 3.687 and 7.443 Å, with angles of 90.00, 90.00 and 90.00 degrees. The asymmetric unit holds Pm at (0.000, 0.000, 0.000), Er at (0.000, 0.000, 0.473), Cd at (0.500, 0.500, 0.725) and Au at (0.500, 0.500, 0.263).

---

## x
Density functional theory data (GGA-PBE) for a relaxed PmErCdAu crystal.

Its magnetization is 0.00 μB/cell. The density of states at the Fermi level is 3.41 states/eV/f.u.

The space group is F-43m (No. 216) and the conventional cell measures 7.396, 7.396 and 7.396 Å, with angles of 90.00, 90.00 and 90.00 degrees. The asymmetric unit holds Pm at (0.000, 0.000, 0.000), Er at (0.000, 0.000, 0.500), Cd at (0.250, 0.250, 0.250) and Au at (0.250, 0.250, 0.750).

---

Quick one: least stable of them? x

---

## w
Density functional theory data (GGA-PBE) for a relaxed PrErCdAu crystal.

Its magnetization is 0.00 μB/cell. The density of states at the Fermi level is 3.06 states/eV/f.u.

The space group is F-43m (No. 216) and the conventional cell measures 7.453, 7.453 and 7.453 Å, with angles of 90.00, 90.00 and 90.00 degrees. The asymmetric unit holds Pr at (0.000, 0.000, 0.000), Er at (0.000, 0.000, 0.500), Cd at (0.250, 0.250, 0.750) and Au at (0.250, 0.250, 0.250).

---

## x
Density functional theory data (GGA-PBE) for a relaxed PrErCdAu crystal.

Its magnetization is 0.24 μB/cell. The density of states at the Fermi level is 4.08 states/eV/f.u.

The space group is P4mm (No. 99) and the conventional cell measures 3.694, 3.694 and 7.580 Å, with angles of 90.00, 90.00 and 90.00 degrees. The asymmetric unit holds Pr at (0.000, 0.000, 0.000), Er at (0.000, 0.000, 0.472), Cd at (0.500, 0.500, 0.720) and Au at (0.500, 0.500, 0.274).

---

Quick one: least stable of them? w